Record 1
Density functional theory data (GGA-PBE) for Ca2YSe after structural relaxation.

Cell lengths 6.5623, 6.5623, 6.5623 Å; angles 138.84, 138.84, 59.63 degrees
Fractional coordinates of all 4 atoms:
1 Ca 0.0000 0.0000 0.0000
2 Ca 0.7500 0.2500 0.5000
3 Y 0.5000 0.5000 0.0000
4 Se 0.2500 0.7500 0.5000

## Properties
Relative energy among the computed polymorphs   0.438 eV/atom
Formation energy from raw total energies   -0.4074 eV/atom


Record 2
Density functional theory data (GGA-PBE) for TbTm4Sc3 after structural relaxation.

Cell lengths 10.8076, 6.9692, 6.0134 Å; angles 90.00, 90.00, 90.00 degrees
Fractional coordinates of all 16 atoms:
1 Tb 0.0000 0.1195 0.0000
2 Tb 0.5000 0.8805 0.5000
3 Tm 0.0000 0.3705 0.4967
4 Tm 0.0000 0.6296 0.9917
5 Tm 0.2463 0.6298 0.3339
6 Tm 0.2537 0.3702 0.8339
7 Tm 0.5000 0.3704 0.4917
8 Tm 0.5000 0.6295 0.9967
9 Tm 0.7463 0.3702 0.8339
10 Tm 0.7537 0.6298 0.3339
11 Sc 0.0000 0.8780 0.5007
12 Sc 0.2492 0.1211 0.3299
13 Sc 0.2508 0.8789 0.8299
14 Sc 0.5000 0.1220 0.0007
15 Sc 0.7492 0.8789 0.8299
16 Sc 0.7508 0.1211 0.3299

## Properties
ΔH_f (0 K)   0.02 eV per atom
Relative energy among the computed polymorphs   0.000 eV/atom


Record 3
Density functional theory data (GGA-PBE) for Nd2EuAg after structural relaxation.

Cell lengths 5.5065, 5.5065, 4.0144 Å; angles 90.00, 90.00, 90.00 degrees
Fractional coordinates of all 4 atoms:
1 Nd 0.0000 0.5000 0.0000
2 Nd 0.5000 0.0000 0.0000
3 Eu 0.0000 0.0000 0.5000
4 Ag 0.5000 0.5000 0.5000

## Properties
ΔH_f (0 K)   0.03 eV per atom
Relative energy among the computed polymorphs   0.099 eV/atom


Record 4
Density functional theory data (GGA-PBE) for Ca5MnSe6 after structural relaxation.

Cell lengths 7.2055, 7.2055, 7.2000 Å; angles 99.57, 99.57, 120.05 degrees
Fractional coordinates of all 12 atoms:
1 Ca 0.0000 0.0000 0.0000
2 Ca 0.1664 0.8336 0.5000
3 Ca 0.3323 0.6677 0.0000
4 Ca 0.6677 0.3323 0.0000
5 Ca 0.8336 0.1664 0.5000
6 Mn 0.5000 0.5000 0.5000
7 Se 0.0977 0.4189 0.2570
8 Se 0.2610 0.2610 0.7405
9 Se 0.4189 0.0977 0.2570
10 Se 0.5811 0.9023 0.7430
11 Se 0.7390 0.7390 0.2595
12 Se 0.9023 0.5811 0.7430

## Properties
Formation energy from raw total energies   -1.7272 eV/atom


Record 5
Density functional theory data (GGA-PBE) for Ho2GaTe after structural relaxation.

Cell lengths 8.2763, 8.2763, 8.2763 Å; angles 28.08, 28.08, 28.08 degrees
Fractional coordinates of all 4 atoms:
1 Ho 0.0000 0.0000 0.0000
2 Ho 0.1619 0.1619 0.1619
3 Ga 0.4137 0.4137 0.4137
4 Te 0.5824 0.5824 0.5824

## Properties
Relative energy among the computed polymorphs   0.221 eV/atom
Formation energy from raw total energies   -0.7744 eV/atom


Record 6
Density functional theory data (GGA-PBE) for Zr2BeTc after structural relaxation.

Cell lengths 3.3059, 3.3059, 6.2390 Å; angles 90.00, 90.00, 90.00 degrees
Fractional coordinates of all 4 atoms:
1 Zr 0.0000 0.0000 0.2454
2 Zr 0.0000 0.0000 0.7546
3 Be 0.5000 0.5000 0.0000
4 Tc 0.5000 0.5000 0.5000

## Properties
ΔH_f (0 K)   -0.26 eV per atom


Record 7
Density functional theory data (GGA-PBE) for Pm2PrRh3 after structural relaxation.

Cell lengths 5.0349, 6.9674, 7.9587 Å; angles 90.00, 108.35, 90.00 degrees
Fractional coordinates of all 12 atoms:
1 Pm 0.0000 0.0000 0.0000
2 Pm 0.0000 0.5000 0.0000
3 Pm 0.3334 0.0000 0.6666
4 Pm 0.6666 0.0000 0.3334
5 Pr 0.3337 0.5000 0.6672
6 Pr 0.6663 0.5000 0.3328
7 Rh 0.1651 0.2453 0.3304
8 Rh 0.1651 0.7547 0.3304
9 Rh 0.5000 0.2475 0.0000
10 Rh 0.5000 0.7525 0.0000
11 Rh 0.8349 0.2453 0.6696
12 Rh 0.8349 0.7547 0.6696

## Properties
ΔH_f (0 K)   -0.65 eV per atom
Relative energy among the computed polymorphs   0.003 eV/atom


Record 8
Density functional theory data (GGA-PBE) for Mg12Tl3H5 after structural relaxation.

Cell lengths 12.4757, 12.4757, 12.4757 Å; angles 109.47, 109.47, 109.47 degrees
Fractional coordinates of all 80 atoms:
1 Mg 0.0037 0.1954 0.1014
2 Mg 0.0037 0.3083 0.9023
3 Mg 0.0940 0.6954 0.6917
4 Mg 0.0940 0.8986 0.4023
5 Mg 0.0977 0.6014 0.4060
6 Mg 0.0977 0.9963 0.6917
7 Mg 0.1014 0.0037 0.1954
8 Mg 0.1014 0.5977 0.9060
9 Mg 0.1917 0.1954 0.5940
10 Mg 0.1917 0.4963 0.5977
11 Mg 0.1954 0.1014 0.0037
12 Mg 0.1954 0.5940 0.1917
13 Mg 0.3046 0.3083 0.9060
14 Mg 0.3046 0.4963 0.3986
15 Mg 0.3083 0.9023 0.0037
16 Mg 0.3083 0.9060 0.3046
17 Mg 0.3986 0.3046 0.4963
18 Mg 0.3986 0.5940 0.9023
19 Mg 0.4023 0.0940 0.8986
20 Mg 0.4023 0.8083 0.5037
21 Mg 0.4060 0.0977 0.6014
22 Mg 0.4060 0.8083 0.8046
23 Mg 0.4963 0.3986 0.3046
24 Mg 0.4963 0.5977 0.1917
25 Mg 0.5037 0.4023 0.8083
26 Mg 0.5037 0.6014 0.6954
27 Mg 0.5940 0.1917 0.1954
28 Mg 0.5940 0.9023 0.3986
29 Mg 0.5977 0.1917 0.4963
30 Mg 0.5977 0.9060 0.1014
31 Mg 0.6014 0.4060 0.0977
32 Mg 0.6014 0.6954 0.5037
33 Mg 0.6917 0.0940 0.6954
34 Mg 0.6917 0.0977 0.9963
35 Mg 0.6954 0.5037 0.6014
36 Mg 0.6954 0.6917 0.0940
37 Mg 0.8046 0.4060 0.8083
38 Mg 0.8046 0.8986 0.9963
39 Mg 0.8083 0.5037 0.4023
40 Mg 0.8083 0.8046 0.4060
41 Mg 0.8986 0.4023 0.0940
42 Mg 0.8986 0.9963 0.8046
43 Mg 0.9023 0.0037 0.3083
44 Mg 0.9023 0.3986 0.5940
45 Mg 0.9060 0.1014 0.5977
46 Mg 0.9060 0.3046 0.3083
47 Mg 0.9963 0.6917 0.0977
48 Mg 0.9963 0.8046 0.8986
49 Tl 0.1250 0.2500 0.3750
50 Tl 0.1250 0.3750 0.7500
51 Tl 0.2500 0.3750 0.1250
52 Tl 0.2500 0.8750 0.6250
53 Tl 0.3750 0.1250 0.2500
54 Tl 0.3750 0.7500 0.1250
55 Tl 0.6250 0.2500 0.8750
56 Tl 0.6250 0.8750 0.7500
57 Tl 0.7500 0.1250 0.3750
58 Tl 0.7500 0.6250 0.8750
59 Tl 0.8750 0.6250 0.2500
60 Tl 0.8750 0.7500 0.6250
61 H 0.0000 0.0000 0.0000
62 H 0.0000 0.0000 0.5000
63 H 0.0000 0.5000 0.0000
64 H 0.0000 0.5000 0.5000
65 H 0.1250 0.7500 0.8750
66 H 0.1250 0.8750 0.2500
67 H 0.2500 0.1250 0.8750
68 H 0.2500 0.6250 0.3750
69 H 0.3750 0.2500 0.6250
70 H 0.3750 0.6250 0.7500
71 H 0.5000 0.0000 0.0000
72 H 0.5000 0.0000 0.5000
73 H 0.5000 0.5000 0.0000
74 H 0.5000 0.5000 0.5000
75 H 0.6250 0.3750 0.2500
76 H 0.6250 0.7500 0.3750
77 H 0.7500 0.3750 0.6250
78 H 0.7500 0.8750 0.1250
79 H 0.8750 0.1250 0.7500
80 H 0.8750 0.2500 0.1250

## Properties
Electronic total energy   -2.095 eV/atom


Record 9
Density functional theory data (GGA-PBE) for AlTc2Ru after structural relaxation.

Cell lengths 5.0985, 5.0985, 5.0985 Å; angles 145.18, 130.93, 61.57 degrees
Fractional coordinates of all 4 atoms:
1 Al 0.0000 0.0000 0.0000
2 Tc 0.2437 0.7437 0.5000
3 Tc 0.7563 0.2563 0.5000
4 Ru 0.5000 0.5000 0.0000

## Properties
ΔH_f (0 K)   -0.23 eV per atom
Relative energy among the computed polymorphs   0.017 eV/atom


Record 10
Density functional theory data (GGA-PBE) for Tb2CeAu after structural relaxation.

Cell lengths 10.3816, 10.3816, 10.3816 Å; angles 19.94, 19.94, 19.94 degrees
Fractional coordinates of all 4 atoms:
1 Tb 0.2388 0.2388 0.2388
2 Tb 0.7612 0.7612 0.7612
3 Ce 0.0000 0.0000 0.0000
4 Au 0.5000 0.5000 0.5000

## Properties
ΔH_f (0 K)   -0.22 eV per atom
Relative energy among the computed polymorphs   0.140 eV/atom


Record 11
Density functional theory data (GGA-PBE) for CeDyGeSe after structural relaxation.

Cell lengths 7.2367, 7.2367, 7.2367 Å; angles 33.60, 33.60, 33.60 degrees
Fractional coordinates of all 4 atoms:
1 Ce 0.0000 0.0000 0.0000
2 Dy 0.4941 0.4941 0.4941
3 Ge 0.7477 0.7477 0.7477
4 Se 0.2444 0.2444 0.2444

## Properties
Formation energy from raw total energies   -1.3384 eV/atom


Record 12
Density functional theory data (GGA-PBE) for LiGeS4 after structural relaxation.

Cell lengths 5.0029, 5.9555, 11.8051 Å; angles 88.80, 85.59, 81.36 degrees
Fractional coordinates of all 12 atoms:
1 Li 0.2225 0.3714 0.0717
2 Li 0.7775 0.6286 0.9283
3 Ge 0.9998 0.2499 0.4999
4 Ge 0.0002 0.7501 0.5001
5 S 0.0279 0.9559 0.9105
6 S 0.2059 0.9702 0.6076
7 S 0.2429 0.4743 0.3917
8 S 0.2784 0.6477 0.9106
9 S 0.7216 0.3523 0.0894
10 S 0.7571 0.5257 0.6083
11 S 0.7941 0.0298 0.3924
12 S 0.9721 0.0441 0.0895

## Properties
Formation energy from raw total energies   -0.4023 eV/atom